Entry 1:
DFT (PBE) results for an optimized crystal structure of SrNd2UAs4.

Geometry as extended XYZ:
```
8
Lattice="6.0246 0.0030 0.0000 -0.0031 6.0246 0.0000 -3.0108 -3.0138 6.0365" Properties=species:S:1:pos:R:3 pbc="T T T"
As 0.0000 0.0001 2.9548
As 3.0123 0.0015 5.8632
As 3.0108 3.0138 3.0817
As 3.0123 0.0015 0.1733
Sr 3.0108 3.0138 0.0000
Nd -0.0015 3.0123 3.0182
Nd 0.0000 0.0000 0.0000
U 3.0123 0.0015 3.0182
```

- ΔE_f: -1181 meV per atom
- DOS at the Fermi energy: 8.5 states/eV/f.u.
- Energy: -6.319 eV per atom
- Symmetry: I-4m2 (119)

Entry 2:
DFT (PBE) results for an optimized crystal structure of Sr2NdZrAs4.

Geometry as extended XYZ:
```
8
Lattice="-2.0371 -1.1450 3.4800 2.5965 -6.7804 -0.7111 4.8756 4.0021 4.1709" Properties=species:S:1:pos:R:3 pbc="T T T"
As 0.6137 -1.2182 2.4830
As 3.0627 -4.2544 0.3929
As 4.4094 1.4762 3.0669
As 4.8213 -2.7051 4.4568
Nd 0.2797 -3.9627 1.3845
Zr 0.0000 0.0000 0.0000
Sr 3.7360 -1.3891 1.7299
Sr 1.4193 1.4285 3.8254
```

- ΔE_f: -1157 meV per atom
- DOS at the Fermi energy: 4.7 states/eV/f.u.
- Energy: -5.566 eV per atom
- Symmetry: P2/m (10)

Entry 3:
DFT (PBE) results for an optimized crystal structure of TbNdAs2.

Geometry as extended XYZ:
```
8
Lattice="5.4814 0.0000 -2.3149 -0.9777 5.3935 -2.3149 -0.1543 -0.1848 7.2817" Properties=species:S:1:pos:R:3 pbc="T T T"
Nd 3.7895 1.2560 1.3259
Nd 0.0000 0.0000 0.0000
As 1.5952 5.1925 3.7771
As -0.4752 2.7130 -1.1253
As 3.2871 3.9365 0.1363
As 1.0624 1.2723 2.5155
Tb 0.5600 3.9527 1.3259
Tb 2.2519 2.6967 -2.3149
```

- ΔE_f: -1520 meV per atom
- DOS at the Fermi energy: 0.4 states/eV/f.u.
- Energy: -6.194 eV per atom
- Symmetry: I4_1/amd (141)
- Offset from the most stable computed form: 0.003 eV/atom

Entry 4:
DFT (PBE) results for an optimized crystal structure of TbNd3As4.

Geometry as extended XYZ:
```
8
Lattice="5.9954 0.0000 0.0000 0.0000 5.9954 0.0000 0.0000 0.0000 5.9954" Properties=species:S:1:pos:R:3 pbc="T T T"
As 2.9977 0.0000 0.0000
As 0.0000 2.9977 0.0000
As 2.9977 2.9977 2.9977
As 0.0000 0.0000 2.9977
Nd 0.0000 2.9977 2.9977
Nd 2.9977 0.0000 2.9977
Nd 2.9977 2.9977 0.0000
Tb 0.0000 0.0000 0.0000
```

- ΔE_f: -1514 meV per atom
- DOS at the Fermi energy: 0.7 states/eV/f.u.
- Energy: -6.205 eV per atom
- Symmetry: Pm-3m (221)